BaBeTl2 | PBE | relaxed

Cell: 4.556 4.556 7.067 Å, 71.26 71.26 59.94°
Fractional positions:
Tl 0.964 0.964 0.107
Be 0.250 0.250 0.250
Tl 0.536 0.536 0.393
Ba 0.750 0.750 0.750

Results
* E_form: 33 meV per atom
* density of states at the Fermi level: 0.437 states/eV per atom
* final energy: -10.25 eV for the cell shown
* offset from the most stable computed form: 0.000 eV/atom

***

La3MgB2O8 | PBE | relaxed

Cell: 5.264 5.264 6.754 Å, 90.00 90.00 120.00°
Fractional positions:
B 0.667 0.333 0.774
O 0.822 0.178 0.690
O 0.357 0.178 0.690
La 0.333 0.667 0.671
O 0.178 0.822 0.310
La 0.667 0.333 0.329
Mg 0.000 0.000 0.500
O 0.333 0.667 0.013
O 0.643 0.822 0.310
O 0.178 0.357 0.310
O 0.822 0.643 0.690
O 0.667 0.333 0.987
B 0.333 0.667 0.226
La 0.000 0.000 0.000

Results
* energy relative to the elements, uncorrected: -2.88 eV/atom
* density of states at the Fermi level: 0.446 states/eV per atom
* final energy: -109.78 eV for the cell shown

***

MgPdS | PBE | relaxed

Cell: 6.916 3.541 8.054 Å, 90.00 90.00 90.00°
Fractional positions:
S 0.804 0.750 0.859
Pd 0.662 0.250 0.057
Mg 0.567 0.250 0.707
Mg 0.067 0.250 0.793
Pd 0.338 0.750 0.943
Mg 0.933 0.750 0.207
S 0.696 0.250 0.359
S 0.196 0.250 0.141
Pd 0.838 0.750 0.557
Mg 0.433 0.750 0.293
S 0.304 0.750 0.641
Pd 0.162 0.250 0.443

Results
* energy relative to the elements, uncorrected: -0.67 eV/atom
* density of states at the Fermi level: 0.037 states/eV per atom
* final energy: -51.76 eV for the cell shown